[1]
! YHoGe2 (PBE, optimized geometry); values from VASP
&SYSTEM
  ibrav = 0, nat = 4, ntyp = 3
/
ATOMIC_SPECIES
Y 88.91 Y.upf
Ge 72.64 Ge.upf
Ho 164.93 Ho.upf
CELL_PARAMETERS angstrom
-0.8098 -0.8914 -2.9802
4.3535 -3.0311 -0.2763
-2.7337 -4.1060 1.9710
ATOMIC_POSITIONS angstrom
Y 0.4051 -4.0143 -0.6427
Ge -1.3668 -2.0530 0.9855
Ge 2.1768 -1.5155 -0.1381
Ho -0.4049 -0.4457 -1.4901
! Density of states at the Fermi level (states/eV/f.u.): 3.7
! Size of the total moment (Bohr magnetons per cell): 0.212
! Relative energy among the computed polymorphs (meV per atom): 269
! Calculated volume (Å³/f.u.): 91
! DFT formation energy (eV/f.u.): -2.44
! Energy (eV/atom): -5.6792

=====

[2]
! YHoZnGe (PBE, optimized geometry); values from VASP
&SYSTEM
  ibrav = 0, nat = 4, ntyp = 4
/
ATOMIC_SPECIES
Y 88.91 Y.upf
Ho 164.93 Ho.upf
Zn 65.41 Zn.upf
Ge 72.64 Ge.upf
CELL_PARAMETERS angstrom
-0.8435 -3.9347 1.1851
3.8288 -0.3913 1.4261
-1.1990 3.7748 4.2547
ATOMIC_POSITIONS angstrom
Y -0.4594 0.5124 1.3741
Ho 0.3259 -0.8618 4.7951
Zn 1.2487 -1.8909 2.0353
Ge -1.3713 1.5293 4.1013
! Density of states at the Fermi level (states/eV/f.u.): 3.7
! Size of the total moment (Bohr magnetons per cell): 0.294
! Relative energy among the computed polymorphs (meV per atom): 0
! Calculated volume (Å³/f.u.): 93
! DFT formation energy (eV/f.u.): -2.55
! Energy (eV/atom): -4.8718

=====

[3]
! YHoZnGe (PBE, optimized geometry); values from VASP
&SYSTEM
  ibrav = 0, nat = 4, ntyp = 4
/
ATOMIC_SPECIES
Y 88.91 Y.upf
Zn 65.41 Zn.upf
Ge 72.64 Ge.upf
Ho 164.93 Ho.upf
CELL_PARAMETERS angstrom
5.0132 0.0000 0.0000
2.5066 4.3416 0.0000
2.5066 1.4472 4.0933
ATOMIC_POSITIONS angstrom
Y 0.0000 0.0000 0.0000
Zn 7.5198 4.3416 3.0700
Ge 2.5066 1.4472 1.0233
Ho 5.0132 2.8944 2.0466
! Density of states at the Fermi level (states/eV/f.u.): 2.2
! Size of the total moment (Bohr magnetons per cell): 0.000
! Relative energy among the computed polymorphs (meV per atom): 104
! Calculated volume (Å³/f.u.): 89
! DFT formation energy (eV/f.u.): -2.14
! Energy (eV/atom): -4.7673